(1)
Below is a relaxed structure of Sm2CoHg, with properties calculated at the PBE level.

The space group is R-3m (No. 166, hexagonal axes) and the conventional cell measures 3.8884, 3.8884 and 28.7479 Å, with angles of 90.00, 90.00 and 120.00 degrees. Symmetry generates all atoms from Sm at (0.0000, 0.0000, 0.1154), Co at (0.0000, 0.0000, 0.5000) and Hg at (0.0000, 0.0000, 0.0000).

As for the density of states at the Fermi level: 9.6 states/eV/cell. For the energy of formation from the pure elements, the calculation gives -0.008 eV/atom. The offset from the most stable computed form is 244.0 meV per atom.

=====

(2)
Below is a relaxed structure of Sm4CoHg2, with properties calculated at the PBE level.

The space group is I4/mmm (No. 139) and the conventional cell measures 5.163, 5.163 and 15.526 Å, with angles of 90.00, 90.00 and 90.00 degrees. Symmetry generates all atoms from Sm at (0.000, 0.000, 0.177), Sm at (0.000, 0.500, 0.000), Co at (0.000, 0.000, 0.000) and Hg at (0.000, 0.000, 0.372).

As for the density of states at the Fermi level: 14.8 states/eV/cell. For the energy of formation from the pure elements, the calculation gives -0.183 eV/atom. The offset from the most stable computed form is 56.6 meV per atom.